Record 1
A plane-wave DFT calculation with PBE-GGA was carried out for crystalline BaCdP4O12 at its relaxed geometry.

Lattice parameters (Å, degrees): 7.1705 9.1367 16.2842 90.00 115.27 90.00
Positions (direct):
Ba 0.1521 0.8978 0.1341
Ba 0.8479 0.3978 0.3659
Ba 0.1521 0.6022 0.6341
Ba 0.8479 0.1022 0.8659
Cd 0.6559 0.7386 0.1584
Cd 0.3441 0.2386 0.3416
Cd 0.6559 0.7614 0.6584
Cd 0.3441 0.2614 0.8416
O 0.3986 0.8614 0.0403
O 0.7936 0.7255 0.0591
O 0.1290 0.1635 0.0653
O 0.7890 0.3204 0.0782
O 0.2957 0.4174 0.0806
O 0.4986 0.1884 0.0918
O 0.8147 0.0437 0.1217
O 0.0656 0.4987 0.1524
O 0.3686 0.6451 0.1704
O 0.7591 0.5003 0.1907
O 0.5756 0.8976 0.2468
O 0.0120 0.2918 0.2480
O 0.9880 0.7918 0.2520
O 0.4244 0.3976 0.2532
O 0.2409 0.0003 0.3093
O 0.6314 0.1451 0.3296
O 0.9344 0.9987 0.3476
O 0.1853 0.5437 0.3783
O 0.5014 0.6884 0.4082
O 0.7043 0.9174 0.4194
O 0.2110 0.8204 0.4218
O 0.8710 0.6635 0.4347
O 0.2064 0.2255 0.4409
O 0.6014 0.3614 0.4597
O 0.3986 0.6386 0.5403
O 0.7936 0.7745 0.5591
O 0.1290 0.3365 0.5653
O 0.7890 0.1796 0.5782
O 0.2957 0.0826 0.5806
O 0.4986 0.3116 0.5918
O 0.8147 0.4563 0.6217
O 0.0656 0.0013 0.6524
O 0.3686 0.8549 0.6704
O 0.7591 0.9997 0.6907
O 0.5756 0.6024 0.7468
O 0.0120 0.2082 0.7480
O 0.9880 0.7082 0.7520
O 0.4244 0.1024 0.7532
O 0.2409 0.4997 0.8093
O 0.6314 0.3549 0.8296
O 0.9344 0.5013 0.8476
O 0.1853 0.9563 0.8783
O 0.5014 0.8116 0.9082
O 0.7043 0.5826 0.9194
O 0.2110 0.6796 0.9218
O 0.8710 0.8365 0.9347
O 0.2064 0.2745 0.9409
O 0.6014 0.1386 0.9597
P 0.2711 0.2545 0.0407
P 0.6826 0.1596 0.0608
P 0.3039 0.4898 0.1717
P 0.9069 0.4016 0.1739
P 0.0931 0.9016 0.3261
P 0.6961 0.9898 0.3283
P 0.3174 0.6596 0.4392
P 0.7289 0.7545 0.4593
P 0.2711 0.2455 0.5407
P 0.6826 0.3404 0.5608
P 0.3039 0.0102 0.6717
P 0.9069 0.0984 0.6739
P 0.0931 0.5984 0.8261
P 0.6961 0.5102 0.8283
P 0.3174 0.8404 0.9392
P 0.7289 0.7455 0.9593

Values from the calculation:
- final energy (eV/atom) = -6.90
- space group = P2_1/c (14)

=====

Record 2
A plane-wave DFT calculation with PBE-GGA was carried out for crystalline BaCdPO at its relaxed geometry.

Lattice parameters (Å, degrees): 3.6321 6.5622 8.0220 90.00 90.00 90.00
Positions (direct):
Ba 0.0000 0.3376 0.0927
Ba 0.0000 0.6624 0.5927
Cd 0.5000 0.1707 0.4688
Cd 0.5000 0.8293 0.9688
O 0.0000 0.3585 0.4070
O 0.0000 0.6415 0.9070
P 0.5000 0.8514 0.2856
P 0.5000 0.1486 0.7856

Values from the calculation:
- final energy (eV/atom) = -4.19
- space group = Pmc2_1 (26)

=====

Record 3
A plane-wave DFT calculation with PBE-GGA was carried out for crystalline BaCd2P2O8 at its relaxed geometry.

Lattice parameters (Å, degrees): 7.9130 7.9130 7.9130 37.84 37.84 37.84
Positions (direct):
Ba 0.0000 0.0000 0.0000
Cd 0.1856 0.1856 0.1856
Cd 0.8144 0.8144 0.8144
O 0.3886 0.7493 0.1814
O 0.8186 0.6114 0.2507
O 0.3466 0.3466 0.3466
O 0.7493 0.1814 0.3886
O 0.2507 0.8186 0.6114
O 0.6534 0.6534 0.6534
O 0.1814 0.3886 0.7493
O 0.6114 0.2507 0.8186
P 0.4156 0.4156 0.4156
P 0.5844 0.5844 0.5844

Values from the calculation:
- final energy (eV/atom) = -6.30
- space group = R-3 (148)
- energy above the most stable polymorph in this dataset (eV/atom) = 0.000

=====

Record 4
A plane-wave DFT calculation with PBE-GGA was carried out for crystalline BaCd2P2O8 at its relaxed geometry.

Lattice parameters (Å, degrees): 5.0754 5.4909 6.8852 77.37 82.88 65.79
Positions (direct):
Ba 0.0000 0.0000 0.0000
Cd 0.2938 0.2408 0.3372
Cd 0.7062 0.7592 0.6628
O 0.6558 0.7107 0.0041
O 0.3180 0.6420 0.2937
O 0.8421 0.3195 0.2943
O 0.6849 0.8233 0.3308
O 0.3151 0.1767 0.6692
O 0.1579 0.6805 0.7057
O 0.6820 0.3580 0.7063
O 0.3442 0.2893 0.9959
P 0.6281 0.6169 0.2305
P 0.3719 0.3831 0.7695

Values from the calculation:
- final energy (eV/atom) = -6.28
- space group = P-1 (2)
- energy above the most stable polymorph in this dataset (eV/atom) = 0.022

=====

Record 5
A plane-wave DFT calculation with PBE-GGA was carried out for crystalline BaCdPO at its relaxed geometry.

Lattice parameters (Å, degrees): 4.1572 7.3299 6.0102 90.00 90.00 90.00
Positions (direct):
Ba 0.0000 0.1409 0.0130
Ba 0.0000 0.8591 0.5130
Cd 0.5000 0.7517 0.0092
Cd 0.5000 0.2483 0.5092
O 0.5000 0.9844 0.2627
O 0.5000 0.0156 0.7627
P 0.0000 0.4424 0.4690
P 0.0000 0.5576 0.9690

Values from the calculation:
- final energy (eV/atom) = -4.35
- space group = Pmc2_1 (26)

=====

Record 6
A plane-wave DFT calculation with PBE-GGA was carried out for crystalline BaCdPdO3 at its relaxed geometry.

Lattice parameters (Å, degrees): 6.5103 6.5103 6.5103 148.32 140.22 51.73
Positions (direct):
Ba 0.4938 0.4938 0.0000
Cd 0.1884 0.1884 0.0000
O 0.9962 0.9962 0.0000
O 0.6895 0.1895 0.5000
O 0.3145 0.8145 0.5000
Pd 0.8175 0.8175 0.0000

Values from the calculation:
- final energy (eV/atom) = -4.98
- space group = Imm2 (44)

=====

Record 7
A plane-wave DFT calculation with PBE-GGA was carried out for crystalline BaPr2CdO5 at its relaxed geometry.

Lattice parameters (Å, degrees): 6.8143 6.8143 6.2148 90.00 90.00 90.00
Positions (direct):
Ba 0.0000 0.0000 0.0000
Ba 0.5000 0.5000 0.0000
Cd 0.5000 0.0000 0.0000
Cd 0.0000 0.5000 0.0000
O 0.6524 0.1524 0.2531
O 0.1524 0.3476 0.2531
O 0.8476 0.6524 0.2531
O 0.3476 0.8476 0.2531
O 0.0000 0.0000 0.5000
O 0.5000 0.5000 0.5000
O 0.6524 0.1524 0.7469
O 0.1524 0.3476 0.7469
O 0.8476 0.6524 0.7469
O 0.3476 0.8476 0.7469
Pr 0.3291 0.1709 0.5000
Pr 0.8291 0.3291 0.5000
Pr 0.1709 0.6709 0.5000
Pr 0.6709 0.8291 0.5000

Values from the calculation:
- final energy (eV/atom) = -6.64
- space group = P4/mbm (127)

=====

Record 8
A plane-wave DFT calculation with PBE-GGA was carried out for crystalline BaCdPtO3 at its relaxed geometry.

Lattice parameters (Å, degrees): 6.5953 6.5953 6.5953 148.55 141.14 50.81
Last column: magnetic moment on the atom in μB.
Positions (direct):
Ba 0.9944 0.4944 0.5000  0.00
Cd 0.6906 0.1906 0.5000  0.00
O 0.1795 0.1795 0.0000  0.10
O 0.8141 0.8141 0.0000  0.00
O 0.4960 0.9960 0.5000  0.06
Pt 0.3254 0.8254 0.5000  0.28

Values from the calculation:
- final energy (eV/atom) = -5.01
- space group = Imm2 (44)
- energy above the most stable polymorph in this dataset (eV/atom) = 0.059